Below is a relaxed SrDyIr crystal, with properties calculated at the PBE-GGA level.

abc: 7.2789 7.2789 7.2789
angles: 151.85 151.85 40.23
Closest atoms and distances in Å follow each position.
Element x y z (fractional)
Sr (0.0000, 0.0000, 0.0000)  4 Ir 3.23, 1 Dy 3.42, 4 Sr 3.54
Dy (0.2505, 0.2505, 0.0000)  4 Ir 2.86
Ir (0.6493, 0.6493, 0.0000)  4 Dy 2.86

Calculated values
- Calculated formation energy: -0.3861 eV per atom
- Spin magnetization: 0.000 μB/atom